Record 1
A relaxed AcYPd crystal, computed with PBE.

For the formation enthalpy at 0 K, the calculation gives -0.36 eV per atom. As for the total energy: -5.614 eV per atom.

a = 7.2431 Å, b = 7.2431 Å, c = 7.2431 Å
α = 90.00°, β = 90.00°, γ = 90.00°
Space group F-43m (No. 216)
Unique sites:
Ac (0.0000, 0.0000, 0.0000) x4
Y (0.0000, 0.0000, 0.5000) x4
Pd (0.2500, 0.2500, 0.2500) x4

***

Record 2
A relaxed Ba3Ho2Cl2O5 crystal, computed with PBE.

As for the total energy: -6.627 eV per atom.

a = 4.4101 Å, b = 4.4101 Å, c = 24.7740 Å
α = 90.00°, β = 90.00°, γ = 90.00°
Space group I4/mmm (No. 139)
Unique sites:
Ba (0.0000, 0.0000, 0.0000) x2
Ba (0.0000, 0.0000, 0.1630) x4
Ho (0.0000, 0.0000, 0.4144) x4
Cl (0.0000, 0.0000, 0.2941) x4
O (0.0000, 0.0000, 0.5000) x2
O (0.0000, 0.5000, 0.0970) x8

***

Record 3
A relaxed SmGa2Co3 crystal, computed with PBE.

As for the total energy: -5.699 eV per atom.

a = 9.0272 Å, b = 9.0272 Å, c = 3.8405 Å
α = 90.00°, β = 90.00°, γ = 120.00°
Space group P6/mmm (No. 191)
Unique sites:
Sm (0.0000, 0.0000, 0.0000) x1
Sm (0.3333, 0.6667, 0.5000) x2
Ga (0.0000, 0.3156, 0.5000) x6
Co (0.0000, 0.5000, 0.0000) x3
Co (0.1828, 0.3657, 0.0000) x6

***

Record 4
A relaxed KMgNbTe3 crystal, computed with PBE.

The calculation puts the energy above the most stable polymorph in this dataset at 7 meV/atom. As for the total energy: -4.283 eV per atom.

a = 4.2147 Å, b = 16.2231 Å, c = 11.0579 Å
α = 90.00°, β = 90.00°, γ = 90.00°
Space group Cmcm (No. 63)
Unique sites:
K (0.0000, 0.2436, 0.2500) x4
Mg (0.0000, 0.4673, 0.7500) x4
Nb (0.0000, 0.0000, 0.0000) x4
Te (0.0000, 0.0759, 0.7500) x4
Te (0.0000, 0.3766, 0.5404) x8

***

Record 5
A relaxed TbErNi4 crystal, computed with PBE.

The calculation puts the energy above the most stable polymorph in this dataset at 0 meV/atom. For the formation enthalpy at 0 K, the calculation gives -0.45 eV per atom. As for the total energy: -5.697 eV per atom.

a = 7.0893 Å, b = 7.0893 Å, c = 7.0893 Å
α = 90.00°, β = 90.00°, γ = 90.00°
Space group F-43m (No. 216)
Unique sites:
Tb (0.0000, 0.0000, 0.0000) x4
Er (0.2500, 0.2500, 0.2500) x4
Ni (0.1248, 0.1248, 0.6248) x16

***

Record 6
A relaxed Nd2Ho2CI3Br2 crystal, computed with PBE.

The calculation puts the energy above the most stable polymorph in this dataset at 4 meV/atom. As for the total energy: -4.820 eV per atom.

a = 18.4131 Å, b = 3.9960 Å, c = 8.8548 Å
α = 90.00°, β = 102.40°, γ = 90.00°
Space group C2/m (No. 12)
Unique sites:
Nd (0.0026, 0.0000, 0.3056) x4
Ho (0.1333, 0.5000, 0.5631) x4
C (0.0000, 0.5000, 0.5000) x2
I (0.0000, 0.5000, 0.0000) x2
I (0.1724, 0.0000, 0.8280) x4
Br (0.1723, 0.0000, 0.3566) x4

***

Record 7
A relaxed Sc2SiAg2Pb crystal, computed with PBE.

As for the total energy: -4.819 eV per atom.

a = 11.0837 Å, b = 4.5349 Å, c = 11.0878 Å
α = 90.00°, β = 109.53°, γ = 90.00°
Space group Pm (No. 6)
Unique sites:
Sc (0.0000, 0.0000, 0.0000) x1
Sc (0.0994, 0.5000, 0.3683) x1
Sc (0.2211, 0.0000, 0.7329) x1
Sc (0.3749, 0.5000, 0.1355) x1
Sc (0.4830, 0.0000, 0.4967) x1
Sc (0.6122, 0.5000, 0.8586) x1
Sc (0.7382, 0.0000, 0.2485) x1
Sc (0.8514, 0.5000, 0.6127) x1
Si (0.2419, 0.0000, 0.2468) x1
Si (0.6112, 0.5000, 0.3716) x1
Si (0.7292, 0.0000, 0.7351) x1
Si (0.9782, 0.0000, 0.4903) x1
Ag (0.1315, 0.5000, 0.1363) x1
Ag (0.2174, 0.0000, 0.4764) x1
Ag (0.3585, 0.5000, 0.8697) x1
Ag (0.4927, 0.0000, 0.2610) x1
Ag (0.6139, 0.5000, 0.6129) x1
Ag (0.7405, 0.0000, 0.9755) x1
Ag (0.8545, 0.5000, 0.3757) x1
Ag (0.9653, 0.0000, 0.7291) x1
Pb (0.1052, 0.5000, 0.8679) x1
Pb (0.3541, 0.5000, 0.6141) x1
Pb (0.4903, 0.0000, 0.9977) x1
Pb (0.8640, 0.5000, 0.1171) x1

***

Record 8
A relaxed Zr2Cd2Hg crystal, computed with PBE.

For the formation enthalpy at 0 K, the calculation gives 0.33 eV per atom. As for the total energy: -3.504 eV per atom.

a = 4.2208 Å, b = 4.2208 Å, c = 13.6229 Å
α = 90.00°, β = 90.00°, γ = 90.00°
Space group I4/mmm (No. 139)
Unique sites:
Zr (0.0000, 0.5000, 0.2500) x4
Cd (0.0000, 0.0000, 0.0961) x4
Hg (0.0000, 0.0000, 0.5000) x2

***

Q: total energy of number 4 (KMgNbTe3)?
A: -4.283 eV per atom